Entry 1:
The following is a PBE-GGA calculation of a geometry-optimized TaCrCu structure, from Alexandria via LeMat-Bulk.

a = 4.4182 Å, b = 4.4182 Å, c = 2.5230 Å
α = 90.00°, β = 90.00°, γ = 120.00°
Space group P3m1 (No. 156)
Unique sites:
1 Ta 0.0000 0.0000 0.0000 [1 per cell]
2 Cr 0.6667 0.3333 0.3695 [1 per cell]
3 Cu 0.3333 0.6667 0.6106 [1 per cell]

Summary:
* D(E_F): 3.36 states/eV/cell
* magnetization: 0.00 μB per atom
* electronic total energy: -8.1905 eV/atom
* distance to the lowest polymorph of the same formula: 110 meV per atom
* formation energy from the elements: 0.33 eV per atom

=====

Entry 2:
The following is a PBE-GGA calculation of a geometry-optimized TaCr2Cu structure, from Alexandria via LeMat-Bulk.

a = 3.854 Å, b = 3.854 Å, c = 7.366 Å
α = 90.00°, β = 90.00°, γ = 90.00°
Space group I-4m2 (No. 119)
Unique sites:
1 Ta 0.000 0.000 0.000 [2 per cell]
2 Cr 0.000 0.000 0.500 [2 per cell]
3 Cr 0.000 0.500 0.750 [2 per cell]
4 Cu 0.000 0.500 0.250 [2 per cell]

Summary:
* D(E_F): 6.65 states/eV/cell
* magnetization: 0.06 μB per atom
* electronic total energy: -8.5351 eV/atom
* formation energy from the elements: 0.26 eV per atom